DFT (PBE) results for ThMg2ZnAu4 after structural relaxation.

The structure belongs to space group R-3m (No. 166, hexagonal axes); the cell edges are 4.5788, 4.5788 and 26.6124 Å and the angles 90.00°, 90.00° and 120.00°. Symmetry generates all atoms from Th at (0.0000, 0.0000, 0.0000), Mg at (0.0000, 0.0000, 0.2367), Zn at (0.0000, 0.0000, 0.5000), Au at (0.0000, 0.0000, 0.1284) and Au at (0.0000, 0.0000, 0.3943).

Its density is 11.69 g cm⁻³. Its volume is 20.13 Å³ per atom. The formation enthalpy at 0 K comes out at -4.3 eV per formula unit.



DFT (PBE) results for Si2NiCl after structural relaxation.

The structure belongs to space group P1 (No. 1); the cell edges are 2.9471, 4.8351 and 5.2496 Å and the angles 112.08°, 101.57° and 101.23°. Symmetry generates all atoms from Si at (0.0000, 0.0000, 0.0000), Si at (0.2705, 0.3074, 0.5258), Ni at (0.9505, 0.4531, 0.8915) and Cl at (0.2609, 0.6859, 0.3724).

The energy relative to the elements, uncorrected is -0.0058 eV per atom. Its density is 3.85 g cm⁻³. The calculation puts the energy above the lowest structure with this stoichiometry at 319 meV per atom. Its volume is 16.21 Å³ per atom.



DFT (PBE) results for SmPaTe2S after structural relaxation.

The structure belongs to space group P4/nmm (No. 129, origin choice 2); the cell edges are 4.3508, 4.3508 and 14.9478 Å and the angles 90.00°, 90.00° and 90.00°. Symmetry generates all atoms from Sm at (0.2500, 0.2500, 0.0870), Pa at (0.2500, 0.2500, 0.6132), Te at (0.2500, 0.2500, 0.3022), Te at (0.2500, 0.2500, 0.8733) and S at (0.2500, 0.7500, 0.5000).

The energy relative to the elements, uncorrected is -1.3020 eV per atom. Its density is 7.85 g cm⁻³. Its volume is 28.30 Å³ per atom.



DFT (PBE) results for Os2PtF after structural relaxation.

The structure belongs to space group Fm-3m (No. 225); the cell edges are 6.0579, 6.0579 and 6.0579 Å and the angles 90.00°, 90.00° and 90.00°. Symmetry generates all atoms from Os at (0.2500, 0.2500, 0.2500), Pt at (0.0000, 0.0000, 0.0000) and F at (0.0000, 0.0000, 0.5000).

The energy relative to the elements, uncorrected is 0.5881 eV per atom. Its density is 17.76 g cm⁻³. The calculation puts the energy above the lowest structure with this stoichiometry at 0 meV per atom. Its volume is 13.89 Å³ per atom.



DFT (PBE) results for TbSmCo4Ni6 after structural relaxation.

The structure belongs to space group Pmmm (No. 47); the cell edges are 3.9789, 4.9120 and 8.5084 Å and the angles 90.00°, 90.00° and 90.00°. Symmetry generates all atoms from Tb at (0.0000, 0.0000, 0.0000), Sm at (0.0000, 0.5000, 0.5000), Co at (0.0000, 0.0000, 0.3303), Co at (0.0000, 0.5000, 0.1647), Ni at (0.5000, 0.0000, 0.5000), Ni at (0.5000, 0.2489, 0.2482) and Ni at (0.5000, 0.5000, 0.0000).

Its density is 8.96 g cm⁻³. Its volume is 13.86 Å³ per atom. The formation enthalpy at 0 K comes out at -2.0 eV per formula unit.



DFT (PBE) results for La3W2 after structural relaxation.

The structure belongs to space group Fddd (No. 70, origin choice 2); the cell edges are 4.2837, 11.8536 and 23.1316 Å and the angles 90.00°, 90.00° and 90.00°. Symmetry generates all atoms from La at (0.1250, 0.1250, 0.1250), La at (0.1250, 0.1250, 0.4887) and W at (0.1250, 0.1250, 0.3460).

Its density is 8.87 g cm⁻³. The calculation puts the energy above the lowest structure with this stoichiometry at 0 meV per atom. Its volume is 29.36 Å³ per atom. The formation enthalpy at 0 K comes out at 3.2 eV per formula unit.